No. 1
{"formula": "LiLaTeN2", "functional": "GGA-PBEsol", "state": "optimized geometry", "raw_formation_energy_ev_per_atom": 0.532, "energy_ev_per_atom": -5.046, "sg": "P4/mmm, No. 123", "dos_at_fermi_per_ev_atom": 0.713, "density_g_cm3": 6.1, "lattice": [[4.299, 0.000, 0.000], [0.000, 4.299, 0.000], [0.000, 0.000, 4.417]], "species": ["Li", "La", "Te", "N", "N"], "frac_coords": [[0.000, 0.000, 0.000], [0.500, 0.500, 0.500], [0.000, 0.000, 0.500], [0.000, 0.500, 0.000], [0.500, 0.000, 0.000]]}

=====

No. 2
{"formula": "LiLa2WN", "functional": "GGA-PBEsol", "state": "optimized geometry", "raw_formation_energy_ev_per_atom": 0.672, "energy_ev_per_atom": -6.327, "sg": "P4/mmm, No. 123", "dos_at_fermi_per_ev_atom": 1.045, "density_g_cm3": 8.4, "lattice": [[5.373, 0.000, 0.000], [0.000, 5.373, 0.000], [0.000, 0.000, 3.307]], "species": ["Li", "La", "La", "W", "N"], "frac_coords": [[0.000, 0.000, 0.000], [0.000, 0.500, 0.000], [0.500, 0.000, 0.000], [0.500, 0.500, 0.500], [0.000, 0.000, 0.500]]}

=====

No. 3
{"formula": "NaLiLa2Ti4O12", "functional": "GGA-PBEsol", "state": "optimized geometry", "raw_formation_energy_ev_per_atom": -3.068, "energy_ev_per_atom": -8.585, "sg": "P4/mmm, No. 123", "dos_at_fermi_per_ev_atom": 0.000, "e_above_lowest_polymorph_ev_per_atom": 0.013, "density_g_cm3": 4.9, "lattice": [[7.751, 0.000, 0.000], [0.000, 7.751, 0.000], [0.000, 0.000, 3.863]], "species": ["Na", "Li", "La", "La", "Ti", "Ti", "Ti", "Ti", "O", "O", "O", "O", "O", "O", "O", "O", "O", "O", "O", "O"], "frac_coords": [[0.000, 0.000, 0.000], [0.500, 0.500, 0.500], [0.000, 0.500, 0.000], [0.500, 0.000, 0.000], [0.249, 0.249, 0.500], [0.249, 0.751, 0.500], [0.751, 0.249, 0.500], [0.751, 0.751, 0.500], [0.000, 0.271, 0.500], [0.000, 0.729, 0.500], [0.240, 0.240, 0.000], [0.240, 0.760, 0.000], [0.247, 0.500, 0.500], [0.271, 0.000, 0.500], [0.500, 0.247, 0.500], [0.500, 0.753, 0.500], [0.729, 0.000, 0.500], [0.753, 0.500, 0.500], [0.760, 0.240, 0.000], [0.760, 0.760, 0.000]]}

=====

No. 4
{"formula": "NaLiLa2Ti4O12", "functional": "GGA-PBEsol", "state": "optimized geometry", "raw_formation_energy_ev_per_atom": -3.081, "energy_ev_per_atom": -8.598, "sg": "P1, No. 1", "dos_at_fermi_per_ev_atom": 0.000, "e_above_lowest_polymorph_ev_per_atom": 0.000, "density_g_cm3": 5.0, "lattice": [[5.395, 0.000, 0.000], [0.066, 5.395, 0.000], [0.056, 0.065, 7.833]], "species": ["Na", "Li", "La", "La", "Ti", "Ti", "Ti", "Ti", "O", "O", "O", "O", "O", "O", "O", "O", "O", "O", "O", "O"], "frac_coords": [[0.000, 0.000, 0.000], [0.943, 0.939, 0.438], [0.481, 0.484, 0.517], [0.500, 0.503, 0.012], [0.484, 0.992, 0.259], [0.499, 0.993, 0.757], [0.990, 0.502, 0.757], [0.993, 0.479, 0.261], [0.031, 0.446, 0.028], [0.197, 0.203, 0.330], [0.239, 0.244, 0.733], [0.278, 0.721, 0.776], [0.282, 0.694, 0.274], [0.443, 0.036, 0.027], [0.556, 0.959, 0.524], [0.686, 0.290, 0.273], [0.715, 0.283, 0.775], [0.758, 0.763, 0.825], [0.765, 0.772, 0.234], [0.954, 0.560, 0.524]]}

=====

No. 5
{"formula": "LiLa3Nb", "functional": "GGA-PBEsol", "state": "optimized geometry", "energy_ev_per_atom": -4.800, "sg": "Pm-3m, No. 221", "dos_at_fermi_per_ev_atom": 1.651, "density_g_cm3": 6.1, "lattice": [[5.203, 0.000, 0.000], [0.000, 5.203, 0.000], [0.000, 0.000, 5.203]], "species": ["Li", "La", "La", "La", "Nb"], "frac_coords": [[0.000, 0.000, 0.000], [0.000, 0.000, 0.500], [0.000, 0.500, 0.000], [0.500, 0.000, 0.000], [0.500, 0.500, 0.500]]}

=====

No. 6
{"formula": "Li2LaNb6O18", "functional": "GGA-PBEsol", "state": "optimized geometry", "raw_formation_energy_ev_per_atom": -2.502, "energy_ev_per_atom": -8.750, "sg": "Pmmm, No. 47", "dos_at_fermi_per_ev_atom": 0.426, "density_g_cm3": 4.5, "lattice": [[3.932, 0.000, 0.000], [0.000, 7.949, 0.000], [0.000, 0.000, 11.853]], "species": ["Li", "Li", "La", "Nb", "Nb", "Nb", "Nb", "Nb", "Nb", "O", "O", "O", "O", "O", "O", "O", "O", "O", "O", "O", "O", "O", "O", "O", "O", "O", "O"], "frac_coords": [[0.000, 0.000, 0.108], [0.000, 0.000, 0.892], [0.000, 0.000, 0.500], [0.500, 0.256, 0.000], [0.500, 0.257, 0.329], [0.500, 0.257, 0.671], [0.500, 0.743, 0.329], [0.500, 0.743, 0.671], [0.500, 0.744, 0.000], [0.000, 0.219, 0.000], [0.000, 0.229, 0.343], [0.000, 0.229, 0.657], [0.000, 0.771, 0.343], [0.000, 0.771, 0.657], [0.000, 0.781, 0.000], [0.500, 0.000, 0.000], [0.500, 0.000, 0.351], [0.500, 0.000, 0.649], [0.500, 0.231, 0.167], [0.500, 0.231, 0.833], [0.500, 0.233, 0.500], [0.500, 0.500, 0.000], [0.500, 0.500, 0.333], [0.500, 0.500, 0.667], [0.500, 0.767, 0.500], [0.500, 0.769, 0.167], [0.500, 0.769, 0.833]]}

=====

No. 7
{"formula": "Li2La3NdSb2O12", "functional": "GGA-PBEsol", "state": "optimized geometry", "raw_formation_energy_ev_per_atom": -2.666, "energy_ev_per_atom": -7.528, "sg": "P1, No. 1", "dos_at_fermi_per_ev_atom": 0.000, "density_g_cm3": 6.6, "lattice": [[5.559, 0.000, 0.000], [0.014, 5.745, 0.000], [0.071, 0.000, 7.903]], "species": ["Li", "Li", "La", "La", "La", "Nd", "Sb", "Sb", "O", "O", "O", "O", "O", "O", "O", "O", "O", "O", "O", "O"], "frac_coords": [[0.000, 0.000, 0.000], [0.495, 0.502, 0.496], [0.011, 0.447, 0.749], [0.485, 0.949, 0.748], [0.983, 0.552, 0.246], [0.514, 0.059, 0.250], [0.495, 0.500, 0.999], [0.999, 0.998, 0.496], [0.101, 0.969, 0.255], [0.189, 0.712, 0.550], [0.205, 0.692, 0.952], [0.288, 0.193, 0.543], [0.304, 0.214, 0.948], [0.403, 0.466, 0.242], [0.591, 0.529, 0.756], [0.684, 0.787, 0.052], [0.710, 0.807, 0.447], [0.782, 0.302, 0.047], [0.803, 0.282, 0.443], [0.906, 0.028, 0.739]]}

=====

No. 8
{"formula": "Li2LaNi2", "functional": "GGA-PBEsol", "state": "optimized geometry", "energy_ev_per_atom": -4.394, "sg": "I4/mmm, No. 139", "dos_at_fermi_per_ev_atom": 0.480, "density_g_cm3": 5.3, "lattice": [[3.823, 0.000, 0.000], [0.000, 3.823, 0.000], [0.000, 0.000, 11.660]], "species": ["Li", "Li", "Li", "Li", "La", "La", "Ni", "Ni", "Ni", "Ni"], "frac_coords": [[0.000, 0.500, 0.250], [0.000, 0.500, 0.750], [0.500, 0.000, 0.250], [0.500, 0.000, 0.750], [0.000, 0.000, 0.000], [0.500, 0.500, 0.500], [0.000, 0.000, 0.401], [0.000, 0.000, 0.599], [0.500, 0.500, 0.099], [0.500, 0.500, 0.901]]}

=====

No. 9
{"formula": "LiLa2Ni", "functional": "GGA-PBEsol", "state": "optimized geometry", "energy_ev_per_atom": -4.773, "sg": "P4/mmm, No. 123", "dos_at_fermi_per_ev_atom": 1.128, "density_g_cm3": 5.7, "lattice": [[3.538, 0.000, 0.000], [0.000, 3.538, 0.000], [0.000, 0.000, 8.055]], "species": ["Li", "La", "La", "Ni"], "frac_coords": [[0.000, 0.000, 0.000], [0.500, 0.500, 0.303], [0.500, 0.500, 0.697], [0.000, 0.000, 0.500]]}

=====

No. 10
{"formula": "LiLa4Ni", "functional": "GGA-PBEsol", "state": "optimized geometry", "energy_ev_per_atom": -4.226, "sg": "F-43m, No. 216", "dos_at_fermi_per_ev_atom": 1.860, "density_g_cm3": 5.8, "lattice": [[0.000, 4.452, 4.452], [4.452, 0.000, 4.452], [4.452, 4.452, 0.000]], "species": ["Li", "La", "La", "La", "La", "Ni"], "frac_coords": [[0.000, 0.000, 0.000], [0.377, 0.377, 0.377], [0.377, 0.377, 0.868], [0.377, 0.868, 0.377], [0.868, 0.377, 0.377], [0.750, 0.750, 0.750]]}

=====

No. 11
{"formula": "Li3LaNi", "functional": "GGA-PBEsol", "state": "optimized geometry", "energy_ev_per_atom": -3.178, "sg": "Pm-3m, No. 221", "dos_at_fermi_per_ev_atom": 1.099, "density_g_cm3": 3.6, "lattice": [[4.637, 0.000, 0.000], [0.000, 4.637, 0.000], [0.000, 0.000, 4.637]], "species": ["Li", "Li", "Li", "La", "Ni"], "frac_coords": [[0.000, 0.000, 0.500], [0.000, 0.500, 0.000], [0.500, 0.000, 0.000], [0.500, 0.500, 0.500], [0.000, 0.000, 0.000]]}

=====

No. 12
{"formula": "Li3LaNiO4", "functional": "GGA-PBEsol", "state": "optimized geometry", "raw_formation_energy_ev_per_atom": -1.966, "energy_ev_per_atom": -6.233, "sg": "I4_1/a, No. 88", "dos_at_fermi_per_ev_atom": 0.129, "density_g_cm3": 4.8, "lattice": [[-5.565, 5.565, 6.300], [5.565, -5.565, 6.300], [5.565, 5.565, -6.300]], "species": ["Li", "Li", "Li", "Li", "Li", "Li", "Li", "Li", "Li", "Li", "Li", "Li", "Li", "Li", "Li", "Li", "Li", "Li", "Li", "Li", "Li", "Li", "Li", "Li", "La", "La", "La", "La", "La", "La", "La", "La", "Ni", "Ni", "Ni", "Ni", "Ni", "Ni", "Ni", "Ni", "O", "O", "O", "O", "O", "O", "O", "O", "O", "O", "O", "O", "O", "O", "O", "O", "O", "O", "O", "O", "O", "O", "O", "O", "O", "O", "O", "O", "O", "O", "O", "O"], "frac_coords": [[0.025, 0.451, 0.606], [0.049, 0.155, 0.574], [0.081, 0.475, 0.926], [0.150, 0.077, 0.108], [0.173, 0.778, 0.076], [0.202, 0.097, 0.424], [0.278, 0.702, 0.605], [0.345, 0.419, 0.894], [0.403, 0.327, 0.105], [0.423, 0.030, 0.073], [0.457, 0.350, 0.427], [0.470, 0.043, 0.392], [0.530, 0.957, 0.608], [0.543, 0.650, 0.573], [0.577, 0.970, 0.927], [0.597, 0.673, 0.895], [0.655, 0.581, 0.106], [0.722, 0.298, 0.395], [0.798, 0.903, 0.576], [0.827, 0.222, 0.924], [0.850, 0.923, 0.892], [0.919, 0.525, 0.074], [0.951, 0.845, 0.426], [0.975, 0.549, 0.394], [0.069, 0.810, 0.755], [0.186, 0.431, 0.241], [0.310, 0.055, 0.741], [0.445, 0.686, 0.255], [0.555, 0.314, 0.745], [0.690, 0.945, 0.259], [0.814, 0.569, 0.759], [0.931, 0.190, 0.245], [0.094, 0.167, 0.886], [0.219, 0.792, 0.386], [0.292, 0.406, 0.574], [0.333, 0.719, 0.926], [0.667, 0.281, 0.074], [0.708, 0.594, 0.426], [0.781, 0.208, 0.614], [0.906, 0.833, 0.114], [0.012, 0.846, 0.988], [0.026, 0.015, 0.664], [0.103, 0.614, 0.835], [0.114, 0.779, 0.512], [0.138, 0.474, 0.489], [0.149, 0.638, 0.164], [0.225, 0.242, 0.339], [0.232, 0.397, 0.012], [0.258, 0.097, 0.983], [0.279, 0.268, 0.665], [0.346, 0.857, 0.834], [0.357, 0.023, 0.512], [0.386, 0.725, 0.483], [0.403, 0.886, 0.161], [0.477, 0.488, 0.334], [0.485, 0.649, 0.011], [0.515, 0.351, 0.989], [0.523, 0.512, 0.666], [0.597, 0.114, 0.839], [0.614, 0.275, 0.517], [0.643, 0.977, 0.488], [0.654, 0.143, 0.166], [0.721, 0.732, 0.335], [0.742, 0.903, 0.017], [0.768, 0.603, 0.988], [0.775, 0.758, 0.661], [0.851, 0.362, 0.836], [0.862, 0.526, 0.511], [0.886, 0.221, 0.488], [0.897, 0.386, 0.165], [0.974, 0.985, 0.336], [0.988, 0.154, 0.012]]}

=====

No. 13
{"formula": "LiLa4NiO8", "functional": "GGA-PBEsol", "state": "optimized geometry", "raw_formation_energy_ev_per_atom": -2.876, "energy_ev_per_atom": -7.984, "sg": "Cmmm, No. 65", "density_g_cm3": 7.0, "lattice": [[2.633, -6.365, 0.000], [2.633, 6.365, 0.000], [0.000, 0.000, 5.266]], "species": ["Li", "La", "La", "La", "La", "Ni", "O", "O", "O", "O", "O", "O", "O", "O"], "frac_coords": [[0.000, 0.000, 0.000], [0.136, 0.864, 0.500], [0.363, 0.637, 0.000], [0.637, 0.363, 0.000], [0.864, 0.136, 0.500], [0.500, 0.500, 0.500], [0.180, 0.820, 0.000], [0.253, 0.253, 0.256], [0.253, 0.253, 0.744], [0.324, 0.676, 0.500], [0.676, 0.324, 0.500], [0.747, 0.747, 0.256], [0.747, 0.747, 0.744], [0.820, 0.180, 0.000]]}

=====

No. 14
{"formula": "LiLaNi2Se", "functional": "GGA-PBEsol", "state": "optimized geometry", "raw_formation_energy_ev_per_atom": -0.194, "energy_ev_per_atom": -4.890, "sg": "P4/mmm, No. 123", "dos_at_fermi_per_ev_atom": 0.534, "density_g_cm3": 6.3, "lattice": [[4.513, 0.000, 0.000], [0.000, 4.513, 0.000], [0.000, 0.000, 4.408]], "species": ["Li", "La", "Ni", "Ni", "Se"], "frac_coords": [[0.000, 0.000, 0.000], [0.500, 0.500, 0.000], [0.000, 0.500, 0.500], [0.500, 0.000, 0.500], [0.000, 0.000, 0.500]]}

=====

No. 15
{"formula": "Li3LaO3", "functional": "GGA-PBEsol", "state": "optimized geometry", "raw_formation_energy_ev_per_atom": -2.326, "energy_ev_per_atom": -6.182, "sg": "P-31c, No. 163", "dos_at_fermi_per_ev_atom": 0.000, "density_g_cm3": 4.0, "lattice": [[5.984, 0.000, 0.000], [-2.992, 5.182, 0.000], [0.000, 0.000, 11.016]], "species": ["Li", "Li", "Li", "Li", "Li", "Li", "Li", "Li", "Li", "Li", "Li", "Li", "La", "La", "La", "La", "O", "O", "O", "O", "O", "O", "O", "O", "O", "O", "O", "O"], "frac_coords": [[0.057, 0.368, 0.441], [0.057, 0.689, 0.059], [0.311, 0.368, 0.059], [0.311, 0.943, 0.441], [0.368, 0.057, 0.941], [0.368, 0.311, 0.559], [0.632, 0.689, 0.441], [0.632, 0.943, 0.059], [0.689, 0.057, 0.559], [0.689, 0.632, 0.941], [0.943, 0.311, 0.941], [0.943, 0.632, 0.559], [0.000, 0.000, 0.250], [0.000, 0.000, 0.750], [0.333, 0.667, 0.750], [0.667, 0.333, 0.250], [0.036, 0.335, 0.615], [0.036, 0.700, 0.885], [0.300, 0.335, 0.885], [0.300, 0.964, 0.615], [0.335, 0.036, 0.115], [0.335, 0.300, 0.385], [0.665, 0.700, 0.615], [0.665, 0.964, 0.885], [0.700, 0.036, 0.385], [0.700, 0.665, 0.115], [0.964, 0.300, 0.115], [0.964, 0.665, 0.385]]}

=====

No. 16
{"formula": "LiLaO2", "functional": "GGA-PBEsol", "state": "optimized geometry", "raw_formation_energy_ev_per_atom": -2.852, "energy_ev_per_atom": -7.305, "sg": "P2_1/c, No. 14", "dos_at_fermi_per_ev_atom": 0.000, "density_g_cm3": 5.8, "lattice": [[5.820, 0.000, 0.000], [0.000, 6.165, 0.000], [-1.246, 0.000, 5.689]], "species": ["Li", "Li", "Li", "Li", "La", "La", "La", "La", "O", "O", "O", "O", "O", "O", "O", "O"], "frac_coords": [[0.165, 0.141, 0.185], [0.165, 0.359, 0.685], [0.835, 0.641, 0.315], [0.835, 0.859, 0.815], [0.298, 0.570, 0.197], [0.298, 0.930, 0.697], [0.702, 0.070, 0.303], [0.702, 0.430, 0.803], [0.073, 0.630, 0.796], [0.073, 0.870, 0.296], [0.410, 0.239, 0.985], [0.410, 0.261, 0.485], [0.590, 0.739, 0.515], [0.590, 0.761, 0.015], [0.927, 0.130, 0.704], [0.927, 0.370, 0.204]]}

=====

No. 17
{"formula": "LiLa2O2", "functional": "GGA-PBEsol", "state": "optimized geometry", "raw_formation_energy_ev_per_atom": -2.269, "energy_ev_per_atom": -6.901, "sg": "I4/mmm, No. 139", "dos_at_fermi_per_ev_atom": 0.530, "density_g_cm3": 4.6, "lattice": [[4.206, 0.000, 0.000], [0.000, 4.206, 0.000], [0.000, 0.000, 12.999]], "species": ["Li", "Li", "La", "La", "La", "La", "O", "O", "O", "O"], "frac_coords": [[0.000, 0.000, 0.000], [0.500, 0.500, 0.500], [0.000, 0.000, 0.335], [0.000, 0.000, 0.665], [0.500, 0.500, 0.165], [0.500, 0.500, 0.835], [0.000, 0.500, 0.250], [0.000, 0.500, 0.750], [0.500, 0.000, 0.250], [0.500, 0.000, 0.750]]}

=====

No. 18
{"formula": "LiLaO2", "functional": "GGA-PBEsol", "state": "optimized geometry", "raw_formation_energy_ev_per_atom": -2.614, "energy_ev_per_atom": -7.067, "sg": "Fm-3m, No. 225", "dos_at_fermi_per_ev_atom": 0.000, "density_g_cm3": 6.2, "lattice": [[5.754, 0.000, 0.000], [0.000, 5.754, 0.000], [0.000, 0.000, 5.754]], "species": ["Li", "Li", "Li", "Li", "La", "La", "La", "La", "O", "O", "O", "O", "O", "O", "O", "O"], "frac_coords": [[0.000, 0.000, 0.000], [0.000, 0.500, 0.500], [0.500, 0.000, 0.500], [0.500, 0.500, 0.000], [0.000, 0.000, 0.500], [0.000, 0.500, 0.000], [0.500, 0.000, 0.000], [0.500, 0.500, 0.500], [0.250, 0.250, 0.250], [0.250, 0.250, 0.750], [0.250, 0.750, 0.250], [0.250, 0.750, 0.750], [0.750, 0.250, 0.250], [0.750, 0.250, 0.750], [0.750, 0.750, 0.250], [0.750, 0.750, 0.750]]}